(1)
This record from the Alexandria database describes crystalline ScAlW at its relaxed geometry. The functional is PBE-GGA.

a b c (Å): 2.9656 2.9656 7.0792
angles (deg): 90.00 90.00 120.00
Closest atoms and distances in Å follow each position.
Space group P3m1 (No. 156)
Asymmetric unit:
Sc  0.0000  0.0000  0.0000 x1  3 W 2.94, 6 Sc 2.97, 3 Al 3.03
Al  0.3333  0.6667  0.6466 x1  3 W 2.78, 6 Al 2.97, 3 Sc 3.03
W  0.6667  0.3333  0.3374 x1  3 Al 2.78, 3 Sc 2.94, 6 W 2.97

Properties
E (eV/atom): -7.522
Size of the total moment (Bohr magnetons per cell): 0.0
Energy relative to the elements (eV per atom): 0.153
Offset from the most stable computed form (eV per formula unit): 1.14

(2)
This record from the Alexandria database describes crystalline TbPrBeN2 at its relaxed geometry. The functional is PBE-GGA.

a b c (Å): 5.0281 5.2436 6.6671
angles (deg): 90.00 90.00 90.00
Closest atoms and distances in Å follow each position.
Space group Pccm (No. 49)
Asymmetric unit:
Tb  0.0000  0.0000  0.2500 x2  4 N 2.39
Pr  0.5000  0.5000  0.2500 x2  4 N 2.56
Be  0.5000  0.0000  0.0000 x2  2 N 1.57
N  0.2692  0.2017  0.0000 x4  1 Be 1.57

Properties
E (eV/atom): -6.810
Size of the total moment (Bohr magnetons per cell): 0.0

(3)
This record from the Alexandria database describes crystalline Mg2Pt9Pb at its relaxed geometry. The functional is PBE-GGA.

a b c (Å): 4.0025 4.0025 12.1586
angles (deg): 90.00 90.00 90.00
Closest atoms and distances in Å follow each position.
Space group P4/mmm (No. 123)
Asymmetric unit:
Mg  0.0000  0.0000  0.1603 x2  12 Pt 2.79-2.83
Pt  0.0000  0.5000  0.0000 x2  4 Mg 2.79, 8 Pt 2.79-2.83
Pt  0.0000  0.5000  0.3196 x4  8 Pt 2.78-2.97, 2 Mg 2.79, 2 Pb 2.97
Pt  0.5000  0.5000  0.1604 x2  8 Pt 2.78-2.79, 4 Mg 2.83
Pt  0.5000  0.5000  0.5000 x1  4 Pb 2.83, 8 Pt 2.97
Pb  0.0000  0.0000  0.5000 x1  12 Pt 2.83-2.97

Properties
E (eV/atom): -5.547
Size of the total moment (Bohr magnetons per cell): 0.0
Energy relative to the elements (eV per atom): -0.442

(4)
This record from the Alexandria database describes crystalline SrH6Pd3 at its relaxed geometry. The functional is PBE-GGA.

a b c (Å): 4.9914 4.9928 5.8000
angles (deg): 64.56 89.82 60.04
Closest atoms and distances in Å follow each position.
Space group P1 (No. 1)
Asymmetric unit:
Sr  0.0000  0.0000  0.0000 x1  9 H 2.53-2.77
H  0.0593  0.4079  0.1749 x1  2 Pd 1.77-1.78
H  0.1968  0.9633  0.5816 x1  3 Pd 1.77-1.94
H  0.5324  0.8840  0.1758 x1  2 Pd 1.77-1.78
H  0.5426  0.2566  0.5831 x1  3 Pd 1.76-1.94
H  0.5825  0.3580  0.1757 x1  2 Pd 1.77-1.78
H  0.8363  0.6191  0.5827 x1  3 Pd 1.77-1.94
Pd  0.2000  0.5971  0.6055 x1  3 H 1.76-1.77
Pd  0.4592  0.0796  0.3820 x1  6 H 1.78-1.89
Pd  0.7906  0.4174  0.3754 x1  6 H 1.77-1.94

Properties
E (eV/atom): -4.010
Size of the total moment (Bohr magnetons per cell): 0.0
Offset from the most stable computed form (eV per formula unit): 0.00

| no. | N(E_F) (states/eV per atom) |
| --- | --- |
| 1 | 1.17 |
| 2 | 0.58 |
| 3 | 0.85 |
| 4 | 0.18 |